VASP calculation (PBE) on a relaxed Cr2ReSiCl crystal.

a = 4.0842 Å, b = 4.5765 Å, c = 4.0842 Å
α = 90.00°, β = 90.00°, γ = 90.00°
Site moments in Bohr magnetons follow the coordinates.
Atoms (fractional coordinates):
Re: 0.5000 0.5000 0.5000  0.41
Si: 0.0000 0.5000 0.0000  -0.01
Cl: 0.0000 0.0000 0.0000  0.00
Cr: 0.0000 0.0000 0.5000  1.71
Cr: 0.5000 0.0000 0.0000  1.77

Calculated values
Uncorrected formation energy (eV per formula unit): 6.9